The following is a PBE with a Hubbard U calculation of crystalline KUCrO6 at its relaxed geometry, from Alexandria via LeMat-Bulk.

Values from the calculation:
E above lowest polymorph: 165 meV/atom
D(E_F): 9.07 states/eV/cell

Geometry as POSCAR:
```
KUCrO6
1.0
-1.826 -6.752 0.668
-0.091 -0.747 -7.803
6.061 2.377 3.639
K U Cr O
2 2 2 12
Direct
0.872 0.622 0.744
0.128 0.378 0.256
0.500 0.500 0.000
0.500 0.000 0.000
0.500 0.000 0.500
0.000 0.000 0.500
0.417 0.667 0.833
0.791 0.041 0.581
0.830 0.052 0.251
0.421 0.699 0.251
0.421 0.052 0.251
0.830 0.699 0.251
0.583 0.333 0.167
0.209 0.959 0.419
0.170 0.948 0.749
0.579 0.301 0.749
0.579 0.948 0.749
0.170 0.301 0.749
```